The following is a GGA+U calculation of a relaxed Ba3NiO5 crystal, from Alexandria.

Summary:
V = 17.66 Å³ per atom
D(E_F) = 1.01 states/eV per atom
uncorrected energy = -5.585 eV per atom
crystal system = tetragonal

Cell: 7.3274 7.3274 7.8675 Å, 117.75 117.75 90.00°
With the nearest neighbours (Å) after each atom.
Atoms (fractional coordinates):
O  0.7118  0.2118  0.6969  1 Ni 1.83
O  0.0000  0.0000  0.0000  6 Ba 2.71-2.96
O  0.5000  0.5000  0.0000  6 Ba 2.71-2.96
O  0.7882  0.0148  0.3031  1 Ni 1.83
O  0.4852  0.7118  0.6969  1 Ni 1.83
O  0.2882  0.7882  0.3031  1 Ni 1.83
O  0.9852  0.4852  0.6969  1 Ni 1.83
O  0.0148  0.5148  0.3031  1 Ni 1.83
O  0.5148  0.2882  0.3031  1 Ni 1.83
O  0.2118  0.9852  0.6969  1 Ni 1.83
Ba  0.7500  0.7500  0.5000  10 O 2.96-3.07
Ba  0.2500  0.2500  0.5000  10 O 2.96-3.07
Ba  0.6747  0.1747  0.0000  8 O 2.65-2.92
Ba  0.3253  0.8253  0.0000  8 O 2.65-2.92
Ba  0.8253  0.6747  0.0000  8 O 2.65-2.92
Ba  0.1747  0.3253  0.0000  8 O 2.65-2.92
Ni  0.7500  0.2500  0.5000  4 O 1.83
Ni  0.2500  0.7500  0.5000  4 O 1.83